[1]
The following is a PBE-GGA calculation of crystalline SrCd5Rh2 at its relaxed geometry, from the Alexandria database.

Cell and atoms, written as POSCAR:
```
SrCd5Rh2
1.0
4.371 0.000 0.000
2.185 6.553 -0.337
2.185 1.650 6.351
Sr Cd Rh
1 5 2
Cartesian
0.000 0.000 0.000
2.185 4.102 3.007
4.371 3.672 0.807
4.371 4.531 5.208
4.371 6.330 2.754
4.371 1.874 3.260
6.556 6.255 4.586
2.185 1.949 1.429
```

Output
Its energy is -22.5 eV per formula unit.

[2]
The following is a PBE-GGA calculation of crystalline Ac6CoAu2N at its relaxed geometry, from the Alexandria database.

Cell and atoms, written as POSCAR:
```
Ac6CoAu2N
1.0
-2.356 -5.629 3.846
-4.038 -2.583 -6.255
8.713 -5.644 -3.293
Ac Co Au N
12 2 4 2
Cartesian
-2.960 -3.858 -3.284
-0.317 -9.837 -3.838
5.278 -9.998 -2.419
2.636 -4.019 -1.865
0.276 -6.169 -4.604
3.069 -12.052 -4.924
2.042 -7.688 -1.099
-0.751 -1.805 -0.779
-2.092 -7.664 -0.727
1.650 -8.818 -7.074
4.411 -6.193 -4.976
0.669 -5.039 1.371
-1.178 -2.815 1.923
2.337 -4.113 -4.774
-1.674 -3.977 -6.243
2.740 -8.823 -4.052
3.992 -9.880 0.540
-0.422 -5.034 -1.650
3.178 -5.636 0.276
-2.019 -1.292 -3.128
```

Output
As for the uncorrected formation energy: -0.532 eV/atom. Its energy is -52.0 eV per formula unit.

[3]
The following is a PBE-GGA calculation of crystalline BaAgB2 at its relaxed geometry, from the Alexandria database.

Cell and atoms, written as POSCAR:
```
BaAgB2
1.0
-0.208 -3.841 2.632
3.710 -1.729 -2.230
6.287 0.431 5.254
B Ba Ag
4 2 2
Cartesian
1.957 -1.549 2.022
3.812 -2.414 0.907
6.956 -2.198 3.533
6.852 -4.119 4.850
0.000 0.000 0.000
3.915 -3.098 4.043
1.751 -2.785 0.201
5.874 -2.042 1.612
```

Output
The polymorph energy (0 for the lowest one) comes out at 0 meV/atom. Its energy is -15.0 eV per formula unit.

[4]
The following is a PBE-GGA calculation of crystalline Ag2Pd3Pb at its relaxed geometry, from the Alexandria database.

Cell and atoms, written as POSCAR:
```
Ag2Pd3Pb
1.0
-3.811 2.296 2.798
-3.951 1.531 -6.637
0.436 -5.776 5.334
Ag Pd Pb
4 6 2
Cartesian
-0.863 -1.043 -0.320
-2.769 0.106 1.079
-2.652 -3.203 -0.983
-4.557 -2.055 0.416
-3.096 -2.932 5.593
-3.000 -0.594 3.805
-2.587 0.744 -1.666
-4.739 -2.694 3.161
-4.326 -1.356 -2.311
-4.230 0.982 -4.099
-1.972 -2.779 2.063
-5.354 0.830 -0.569
```

Output
The polymorph energy (0 for the lowest one) comes out at 118 meV/atom. Its energy is -25.2 eV per formula unit.

[5]
The following is a PBE-GGA calculation of crystalline LiTm8C4 at its relaxed geometry, from the Alexandria database.

Cell and atoms, written as POSCAR:
```
LiTm8C4
1.0
3.478 0.000 0.753
1.653 8.813 0.774
-0.132 -0.323 9.015
Li Tm C
1 8 4
Cartesian
1.668 -0.297 9.108
1.053 2.541 3.541
2.937 5.398 3.248
2.185 3.142 6.721
4.069 5.999 6.428
4.558 8.416 4.171
1.689 5.526 9.011
0.564 0.124 5.801
3.433 3.015 0.958
2.576 7.203 4.917
3.678 4.342 8.232
1.444 4.199 1.738
2.546 1.337 5.054
```

Output
Its energy is -77.8 eV per formula unit.